Computed, not measured: a geometry-optimized SrTiCr2 structure at the GGA-PBE level of DFT.

Properties
mass density	4.8	Mg/m³
energy of formation from the pure elements	0.910	eV/atom
space group	Fm-3m
energy above the lowest structure with this stoichiometry	0.0	meV/atom
calculated volume	82.80	Å³/f.u.
energy	-6.30	eV/atom

Geometry as POSCAR:
```
SrTiCr2
1.0
0.0000 3.4594 3.4594
3.4594 0.0000 3.4594
3.4594 3.4594 0.0000
Sr Ti Cr
1 1 2
direct
0.5000 0.5000 0.5000
0.0000 0.0000 0.0000
0.7500 0.7500 0.7500
0.2500 0.2500 0.2500
```